# 1
VASP calculation (GGA-PBE) on a geometry-optimized CuBiSe2 structure.

D(E_F)   0.457 states/eV per atom

abc: 4.985 4.985 4.985
angles: 60.00 60.00 60.00
Sites, in units of the cell vectors:
Cu  0.000  0.000  0.000
Bi  0.500  0.500  0.500
Se  0.250  0.250  0.250
Se  0.750  0.750  0.750

***

# 2
VASP calculation (GGA-PBE) on a geometry-optimized CuBi4Se2 structure.

D(E_F)   0.656 states/eV per atom

abc: 5.240 5.240 8.989
angles: 73.05 73.05 90.00
Sites, in units of the cell vectors:
Cu  0.000  0.000  0.000
Bi  0.765  0.765  0.471
Bi  0.235  0.235  0.529
Bi  0.000  0.500  0.000
Bi  0.500  0.000  0.000
Se  0.598  0.598  0.804
Se  0.402  0.402  0.196

***

# 3
VASP calculation (GGA-PBE) on a geometry-optimized CuBiSe4 structure.

D(E_F)   0.168 states/eV per atom

abc: 5.187 7.690 7.690
angles: 90.00 90.00 90.25
Sites, in units of the cell vectors:
Cu  0.000  0.250  0.750
Cu  0.000  0.750  0.250
Bi  0.500  0.250  0.250
Bi  0.500  0.750  0.750
Se  0.206  0.553  0.053
Se  0.206  0.448  0.552
Se  0.794  0.947  0.053
Se  0.794  0.552  0.448
Se  0.794  0.052  0.552
Se  0.206  0.053  0.947
Se  0.206  0.948  0.448
Se  0.794  0.447  0.947

***

# 4
VASP calculation (GGA-PBE) on a geometry-optimized Cu2BiSe2 structure.

Offset from the most stable computed form   44 meV/atom
D(E_F)   0.501 states/eV per atom

abc: 3.745 3.745 7.660
angles: 75.85 75.85 90.00
Sites, in units of the cell vectors:
Cu  0.750  0.250  0.500
Cu  0.250  0.750  0.500
Bi  0.000  0.000  0.000
Se  0.368  0.368  0.265
Se  0.632  0.632  0.735

***

# 5
VASP calculation (GGA-PBE) on a geometry-optimized Cu3BiSe structure.

Offset from the most stable computed form   491 meV/atom
D(E_F)   1.265 states/eV per atom

abc: 4.980 4.980 4.980
angles: 90.00 90.00 90.00
Sites, in units of the cell vectors:
Cu  0.000  0.500  0.000
Cu  0.000  0.000  0.500
Cu  0.500  0.000  0.000
Bi  0.000  0.000  0.000
Se  0.500  0.500  0.500

***

# 6
VASP calculation (GGA-PBE) on a geometry-optimized Cu5BiSe4 structure.

D(E_F)   0.058 states/eV per atom

abc: 4.910 8.307 9.928
angles: 90.00 90.00 90.00
Sites, in units of the cell vectors:
Cu  0.235  0.797  0.801
Cu  0.235  0.203  0.801
Cu  0.732  0.500  0.000
Cu  0.235  0.797  0.199
Cu  0.235  0.203  0.199
Cu  0.765  0.703  0.301
Cu  0.765  0.297  0.301
Cu  0.268  0.000  0.500
Cu  0.765  0.297  0.699
Cu  0.765  0.703  0.699
Bi  0.911  0.000  0.000
Bi  0.089  0.500  0.500
Se  0.957  0.000  0.695
Se  0.501  0.757  0.000
Se  0.501  0.243  0.000
Se  0.957  0.000  0.305
Se  0.043  0.500  0.195
Se  0.499  0.743  0.500
Se  0.499  0.257  0.500
Se  0.043  0.500  0.805

***

# 7
VASP calculation (GGA-PBE) on a geometry-optimized CuBiSe2 structure.

D(E_F)   0.000 states/eV per atom

abc: 7.978 7.978 7.978
angles: 32.11 32.11 32.11
Sites, in units of the cell vectors:
Cu  0.000  0.000  0.000
Bi  0.500  0.500  0.500
Se  0.099  0.099  0.099
Se  0.901  0.901  0.901

***

# 8
VASP calculation (GGA-PBE) on a geometry-optimized CuBi3Se structure.

Offset from the most stable computed form   0 meV/atom
D(E_F)   1.177 states/eV per atom

abc: 5.249 5.249 5.249
angles: 90.00 90.00 90.00
Sites, in units of the cell vectors:
Cu  0.000  0.000  0.000
Bi  0.000  0.500  0.000
Bi  0.000  0.000  0.500
Bi  0.500  0.000  0.000
Se  0.500  0.500  0.500

***

# 9
VASP calculation (GGA-PBE) on a geometry-optimized CuBi2Se structure.

Offset from the most stable computed form   93 meV/atom
D(E_F)   0.542 states/eV per atom

abc: 5.131 5.131 5.131
angles: 60.00 60.00 60.00
Sites, in units of the cell vectors:
Cu  0.000  0.000  0.000
Bi  0.250  0.250  0.250
Bi  0.750  0.750  0.750
Se  0.500  0.500  0.500

***

# 10
VASP calculation (GGA-PBE) on a geometry-optimized Cu2BiSe2 structure.

Offset from the most stable computed form   288 meV/atom
D(E_F)   0.495 states/eV per atom

abc: 4.242 4.242 6.249
angles: 70.16 70.16 90.00
Sites, in units of the cell vectors:
Cu  0.387  0.387  0.225
Cu  0.613  0.613  0.775
Bi  0.000  0.000  0.000
Se  0.750  0.250  0.500
Se  0.250  0.750  0.500

***

# 11
VASP calculation (GGA-PBE) on a geometry-optimized CuBi2Se2 structure.

D(E_F)   0.506 states/eV per atom

abc: 6.575 6.575 5.990
angles: 90.00 90.00 90.00
Sites, in units of the cell vectors:
Cu  0.000  0.000  0.000
Cu  0.500  0.500  0.000
Bi  0.305  0.805  0.500
Bi  0.805  0.695  0.500
Bi  0.695  0.195  0.500
Bi  0.195  0.305  0.500
Se  0.340  0.840  0.000
Se  0.840  0.660  0.000
Se  0.660  0.160  0.000
Se  0.160  0.340  0.000

***

# 12
VASP calculation (GGA-PBE) on a geometry-optimized SrCuBiSe3 structure.

abc: 4.156 8.816 9.071
angles: 102.19 90.00 90.00
Sites, in units of the cell vectors:
Sr  0.250  0.174  0.241
Sr  0.750  0.826  0.759
Cu  0.250  0.073  0.576
Cu  0.750  0.927  0.424
Bi  0.250  0.666  0.163
Bi  0.750  0.334  0.837
Se  0.750  0.895  0.133
Se  0.250  0.105  0.867
Se  0.250  0.785  0.491
Se  0.750  0.215  0.509
Se  0.750  0.427  0.170
Se  0.250  0.573  0.830

***

What did we get for raw formation energy? Answer: 0.15 0.19 -0.10 -0.03 0.92 -0.07 -0.18 0.46 0.29 0.22 0.00 -0.87 eV/atom, in the order shown.
What did we get for magnetization? Answer: 0.0 0.0 0.0 0.0 0.0 0.0 0.0 0.0 0.0 0.0 0.0 0.0 μB per formula unit, in the order shown.